(1)
VASP calculation (GGA-PBE) on a relaxed structure of NaLaTh.

CIF file:
```
data_NaLaTh
_chemical_formula_sum 'Na1 La1 Th1'
_space_group_name_H-M_alt 'P 3 m 1'
_space_group_IT_number 156
_space_group_name_Hall 'P 3 -2"'
_cell_length_a 3.5691
_cell_length_b 3.5691
_cell_length_c 9.4689
_cell_angle_alpha 90.00
_cell_angle_beta 90.00
_cell_angle_gamma 120.00
loop_
_atom_site_label
_atom_site_fract_x
_atom_site_fract_y
_atom_site_fract_z
Na1 0.0000 0.0000 0.0000
La1 0.3333 0.6667 0.6487
Th1 0.6667 0.3333 0.3406
```

Output
Its crystal system is trigonal. The value obtained for the energy is -13.18 eV per cell. For the density of states at the Fermi level, the calculation gives 3.48 states/eV/f.u. Its density is 6.3 g/cm3. The distance to the lowest polymorph of the same formula comes out at 0.38 eV per formula unit. The total magnetization is 0.00 Bohr magnetons per cell. Its formation energy is 0.163 eV/atom.



(2)
VASP calculation (GGA-PBE) on a relaxed structure of Pm12SnRu7.

CIF file:
```
data_Pm12SnRu7
_chemical_formula_sum 'Pm36 Sn3 Ru21'
_space_group_name_H-M_alt 'R -3'
_space_group_IT_number 148
_space_group_name_Hall '-R 3'
_cell_length_a 14.2300
_cell_length_b 14.2300
_cell_length_c 8.8993
_cell_angle_alpha 90.00
_cell_angle_beta 90.00
_cell_angle_gamma 120.00
loop_
_atom_site_label
_atom_site_fract_x
_atom_site_fract_y
_atom_site_fract_z
Pm1 0.0350 0.4347 0.2979
Pm2 0.0368 0.1673 0.2642
Sn1 0.0000 0.0000 0.0000
Ru1 0.0000 0.0000 0.5000
Ru2 0.0599 0.2153 0.9168
```

Output
Its crystal system is trigonal. The value obtained for the energy is -388.40 eV per cell. For the density of states at the Fermi level, the calculation gives 14.06 states/eV/f.u. Its density is 8.2 g/cm3. The total magnetization is 0.00 Bohr magnetons per cell. Its formation energy is -0.176 eV/atom.